# 1
## CsSb2TeN (PBE-GGA)

Data for a geometry-optimized CsSb2TeN structure.

Summary:
total DFT energy (no corrections) = -2.040 eV/atom
ΔE to the lowest computed polymorph = 1502 meV per atom
raw formation energy = 10.36 eV per formula unit

Geometry as CIF:
```
data_CsSb2TeN
_space_group_name_H-M_alt 'P 4/m m m'
_space_group_IT_number 123
_space_group_name_Hall '-P 4 2'
_cell_length_a 8.000
_cell_length_b 8.000
_cell_length_c 7.341
_cell_angle_alpha 90.00
_cell_angle_beta 90.00
_cell_angle_gamma 90.00
loop_
_atom_site_label
_atom_site_fract_x
_atom_site_fract_y
_atom_site_fract_z
_atom_site_occupancy
Cs1 0.000 0.000 0.000 1
Sb1 0.000 0.500 0.000 1
Te1 0.000 0.000 0.500 1
N1 0.500 0.500 0.500 1
```

---

# 2
## CsSbTeN2 (PBE-GGA)

Data for a geometry-optimized CsSbTeN2 structure.

Summary:
total DFT energy (no corrections) = -3.812 eV/atom
ΔE to the lowest computed polymorph = 0 meV per atom
raw formation energy = 5.71 eV per formula unit

Geometry as CIF:
```
data_CsSbTeN2
_space_group_name_H-M_alt 'P 4/m m m'
_space_group_IT_number 123
_space_group_name_Hall '-P 4 2'
_cell_length_a 4.833
_cell_length_b 4.833
_cell_length_c 5.904
_cell_angle_alpha 90.00
_cell_angle_beta 90.00
_cell_angle_gamma 90.00
loop_
_atom_site_label
_atom_site_fract_x
_atom_site_fract_y
_atom_site_fract_z
_atom_site_occupancy
Cs1 0.000 0.000 0.000 1
Sb1 0.500 0.500 0.500 1
Te1 0.500 0.500 0.000 1
N1 0.000 0.500 0.500 1
```

---

# 3
## CsScN2 (PBE-GGA)

Data for a geometry-optimized CsScN2 structure.

Summary:
total DFT energy (no corrections) = -5.989 eV/atom
ΔE to the lowest computed polymorph = 0 meV per atom
raw formation energy = -0.12 eV per formula unit

Geometry as CIF:
```
data_CsScN2
_space_group_name_H-M_alt 'I 41/a m d'
_space_group_IT_number 141
_cell_length_a 5.521
_cell_length_b 5.521
_cell_length_c 12.415
_cell_angle_alpha 90.00
_cell_angle_beta 90.00
_cell_angle_gamma 90.00
loop_
_space_group_symop_operation_xyz
'x,y,z'
'-x,-y,-z'
'-y+1/4,x+3/4,z+1/4'
'y+1/4,-x+3/4,-z+1/4'
'-x+1/2,-y,z+1/2'
'x+1/2,y,-z+1/2'
'y+1/4,-x+1/4,z+3/4'
'-y+1/4,x+1/4,-z+3/4'
'x,-y,-z'
'-x,y,z'
'-y+1/4,-x+1/4,-z+3/4'
'y+1/4,x+1/4,z+3/4'
'-x+1/2,y,-z+1/2'
'x+1/2,-y,z+1/2'
'y+1/4,x+3/4,-z+1/4'
'-y+1/4,-x+3/4,z+1/4'
'x+1/2,y+1/2,z+1/2'
'-x+1/2,-y+1/2,-z+1/2'
'-y+3/4,x+1/4,z+3/4'
'y+3/4,-x+1/4,-z+3/4'
'-x,-y+1/2,z'
'x,y+1/2,-z'
'y+3/4,-x+3/4,z+1/4'
'-y+3/4,x+3/4,-z+1/4'
'x+1/2,-y+1/2,-z+1/2'
'-x+1/2,y+1/2,z+1/2'
'-y+3/4,-x+3/4,-z+1/4'
'y+3/4,x+3/4,z+1/4'
'-x,y+1/2,-z'
'x,-y+1/2,z'
'y+3/4,x+1/4,-z+3/4'
'-y+3/4,-x+1/4,z+3/4'
loop_
_atom_site_label
_atom_site_fract_x
_atom_site_fract_y
_atom_site_fract_z
_atom_site_occupancy
Cs1 0.000 0.250 0.375 1
Sc1 0.000 0.250 0.875 1
N1 0.000 0.000 0.000 1
```

---

# 4
## CsSc2N (PBE-GGA)

Data for a geometry-optimized CsSc2N structure.

Summary:
total DFT energy (no corrections) = -5.757 eV/atom
raw formation energy = -1.19 eV per formula unit

Geometry as CIF:
```
data_CsSc2N
_space_group_name_H-M_alt 'I 41/a m d'
_space_group_IT_number 141
_cell_length_a 6.929
_cell_length_b 6.929
_cell_length_c 9.818
_cell_angle_alpha 90.00
_cell_angle_beta 90.00
_cell_angle_gamma 90.00
loop_
_space_group_symop_operation_xyz
'x,y,z'
'-x,-y,-z'
'-y+1/4,x+3/4,z+1/4'
'y+1/4,-x+3/4,-z+1/4'
'-x+1/2,-y,z+1/2'
'x+1/2,y,-z+1/2'
'y+1/4,-x+1/4,z+3/4'
'-y+1/4,x+1/4,-z+3/4'
'x,-y,-z'
'-x,y,z'
'-y+1/4,-x+1/4,-z+3/4'
'y+1/4,x+1/4,z+3/4'
'-x+1/2,y,-z+1/2'
'x+1/2,-y,z+1/2'
'y+1/4,x+3/4,-z+1/4'
'-y+1/4,-x+3/4,z+1/4'
'x+1/2,y+1/2,z+1/2'
'-x+1/2,-y+1/2,-z+1/2'
'-y+3/4,x+1/4,z+3/4'
'y+3/4,-x+1/4,-z+3/4'
'-x,-y+1/2,z'
'x,y+1/2,-z'
'y+3/4,-x+3/4,z+1/4'
'-y+3/4,x+3/4,-z+1/4'
'x+1/2,-y+1/2,-z+1/2'
'-x+1/2,y+1/2,z+1/2'
'-y+3/4,-x+3/4,-z+1/4'
'y+3/4,x+3/4,z+1/4'
'-x,y+1/2,-z'
'x,-y+1/2,z'
'y+3/4,x+1/4,-z+3/4'
'-y+3/4,-x+1/4,z+3/4'
loop_
_atom_site_label
_atom_site_fract_x
_atom_site_fract_y
_atom_site_fract_z
_atom_site_occupancy
Cs1 0.000 0.250 0.375 1
Sc1 0.000 0.000 0.000 1
N1 0.000 0.250 0.875 1
```

---

| no. | size of the total moment (μB per cell) |
| --- | --- |
| 1 | 7.6 |
| 2 | 3.5 |
| 3 | 1.7 |
| 4 | 0.0 |